The following is a PBE-GGA calculation of a geometry-optimized MgPW2 structure, from the Alexandria database.

CIF file:
```
data_MgPW2
_cell_length_a 4.201
_cell_length_b 4.201
_cell_length_c 3.435
_cell_angle_alpha 90.00
_cell_angle_beta 90.00
_cell_angle_gamma 98.12
_symmetry_space_group_name_H-M 'P 1'
_symmetry_Int_Tables_number 1
loop_
_symmetry_equiv_pos_as_xyz
'x,y,z'
loop_
_atom_site_label
_atom_site_fract_x
_atom_site_fract_y
_atom_site_fract_z
_atom_site_occupancy
W1 0.000 0.000 0.000 1
W2 0.500 0.500 0.000 1
P1 0.000 0.500 0.500 1
Mg1 0.500 0.000 0.500 1
```

E_form = 0.56 eV per atom
E = -7.67 eV per atom
Polymorph energy (0 for the lowest one) = 461 meV/atom
Calculated density = 11.70 g/cm³


The following is a PBE-GGA calculation of a geometry-optimized ZrZnPt5 structure, from the Alexandria database.

CIF file:
```
data_ZrZnPt5
_cell_length_a 4.036
_cell_length_b 4.036
_cell_length_c 7.206
_cell_angle_alpha 90.00
_cell_angle_beta 90.00
_cell_angle_gamma 90.00
_symmetry_space_group_name_H-M 'P 1'
_symmetry_Int_Tables_number 1
loop_
_symmetry_equiv_pos_as_xyz
'x,y,z'
loop_
_atom_site_label
_atom_site_fract_x
_atom_site_fract_y
_atom_site_fract_z
_atom_site_occupancy
Zn1 0.500 0.500 0.000 1
Pt1 0.000 0.500 0.222 1
Pt2 0.000 0.500 0.778 1
Pt3 0.500 0.000 0.778 1
Pt4 0.500 0.500 0.500 1
Pt5 0.500 0.000 0.222 1
Zr1 0.000 0.000 0.500 1
```

E_form = -0.69 eV per atom
E = -6.41 eV per atom
Calculated density = 16.02 g/cm³


The following is a PBE-GGA calculation of a geometry-optimized KNaMg14O15 structure, from the Alexandria database.

CIF file:
```
data_KNaMg14O15
_cell_length_a 4.411
_cell_length_b 8.643
_cell_length_c 8.805
_cell_angle_alpha 90.00
_cell_angle_beta 90.00
_cell_angle_gamma 90.00
_symmetry_space_group_name_H-M 'P 1'
_symmetry_Int_Tables_number 1
loop_
_symmetry_equiv_pos_as_xyz
'x,y,z'
loop_
_atom_site_label
_atom_site_fract_x
_atom_site_fract_y
_atom_site_fract_z
_atom_site_occupancy
Mg1 0.000 0.250 0.271 1
Mg2 0.500 0.000 0.264 1
Mg3 0.500 0.000 0.746 1
Mg4 0.500 0.746 0.506 1
Mg5 0.000 0.000 0.504 1
Mg6 0.000 0.775 0.744 1
Mg7 0.500 0.254 0.506 1
Mg8 0.500 0.749 0.988 1
Mg9 0.000 0.750 0.271 1
Mg10 0.500 0.251 0.988 1
Mg11 0.000 0.225 0.744 1
Mg12 0.000 0.500 0.022 1
Mg13 0.500 0.500 0.752 1
Mg14 0.500 0.500 0.254 1
O1 0.000 0.716 0.964 1
O2 0.000 0.000 0.729 1
O3 0.500 0.260 0.744 1
O4 0.500 0.251 0.250 1
O5 0.500 0.500 0.516 1
O6 0.500 0.000 0.976 1
O7 0.000 0.000 0.282 1
O8 0.500 0.500 0.992 1
O9 0.500 0.740 0.744 1
O10 0.000 0.243 0.508 1
O11 0.000 0.284 0.964 1
O12 0.500 0.000 0.505 1
O13 0.000 0.500 0.245 1
O14 0.500 0.749 0.250 1
O15 0.000 0.757 0.508 1
Na1 0.000 0.500 0.497 1
K1 0.000 0.000 0.016 1
```

ΔE_f (raw) = -73.21 eV/f.u.
E = -5.56 eV per atom
Polymorph energy (0 for the lowest one) = 13 meV/atom
Calculated density = 3.18 g/cm³


The following is a PBE-GGA calculation of a geometry-optimized Y2SnPt structure, from the Alexandria database.

CIF file:
```
data_Y2SnPt
_cell_length_a 3.551
_cell_length_b 3.551
_cell_length_c 7.694
_cell_angle_alpha 90.00
_cell_angle_beta 90.00
_cell_angle_gamma 90.00
_symmetry_space_group_name_H-M 'P 1'
_symmetry_Int_Tables_number 1
loop_
_symmetry_equiv_pos_as_xyz
'x,y,z'
loop_
_atom_site_label
_atom_site_fract_x
_atom_site_fract_y
_atom_site_fract_z
_atom_site_occupancy
Y1 0.000 0.000 0.780 1
Y2 0.000 0.000 0.220 1
Sn1 0.500 0.500 0.500 1
Pt1 0.500 0.500 0.000 1
```

E_form = -0.93 eV per atom
E = -6.68 eV per atom
Calculated density = 8.41 g/cm³


The following is a PBE-GGA calculation of a geometry-optimized Nd12Dy6Al structure, from the Alexandria database.

CIF file:
```
data_Nd12Dy6Al
_cell_length_a 8.615
_cell_length_b 8.615
_cell_length_c 8.615
_cell_angle_alpha 88.62
_cell_angle_beta 88.62
_cell_angle_gamma 88.62
_symmetry_space_group_name_H-M 'P 1'
_symmetry_Int_Tables_number 1
loop_
_symmetry_equiv_pos_as_xyz
'x,y,z'
loop_
_atom_site_label
_atom_site_fract_x
_atom_site_fract_y
_atom_site_fract_z
_atom_site_occupancy
Nd1 0.787 0.537 0.434 1
Nd2 0.824 0.638 0.981 1
Nd3 0.362 0.019 0.176 1
Nd4 0.566 0.213 0.463 1
Nd5 0.019 0.176 0.362 1
Nd6 0.638 0.981 0.824 1
Nd7 0.213 0.463 0.566 1
Nd8 0.981 0.824 0.638 1
Nd9 0.537 0.434 0.787 1
Nd10 0.463 0.566 0.213 1
Nd11 0.176 0.362 0.019 1
Nd12 0.434 0.787 0.537 1
Dy1 0.099 0.721 0.255 1
Dy2 0.721 0.255 0.099 1
Dy3 0.745 0.901 0.279 1
Dy4 0.255 0.099 0.721 1
Dy5 0.279 0.745 0.901 1
Dy6 0.901 0.279 0.745 1
Al1 0.000 0.000 0.000 1
```

E_form = 0.08 eV per atom
E = -4.58 eV per atom
Calculated density = 7.10 g/cm³


The following is a PBE-GGA calculation of a geometry-optimized TaTiMnNb structure, from the Alexandria database.

CIF file:
```
data_TaTiMnNb
_cell_length_a 4.473
_cell_length_b 4.473
_cell_length_c 4.473
_cell_angle_alpha 60.00
_cell_angle_beta 60.00
_cell_angle_gamma 60.00
_symmetry_space_group_name_H-M 'P 1'
_symmetry_Int_Tables_number 1
loop_
_symmetry_equiv_pos_as_xyz
'x,y,z'
loop_
_atom_site_label
_atom_site_fract_x
_atom_site_fract_y
_atom_site_fract_z
_atom_site_occupancy
Nb1 0.000 0.000 0.000 1
Ta1 0.750 0.750 0.750 1
Mn1 0.500 0.500 0.500 1
Ti1 0.250 0.250 0.250 1
```

E_form = 0.00 eV per atom
E = -9.74 eV per atom
Calculated density = 9.88 g/cm³


The following is a PBE-GGA calculation of a geometry-optimized FeI3N structure, from the Alexandria database.

CIF file:
```
data_FeI3N
_cell_length_a 5.149
_cell_length_b 5.149
_cell_length_c 5.149
_cell_angle_alpha 90.00
_cell_angle_beta 90.00
_cell_angle_gamma 90.00
_symmetry_space_group_name_H-M 'P 1'
_symmetry_Int_Tables_number 1
loop_
_symmetry_equiv_pos_as_xyz
'x,y,z'
loop_
_atom_site_label
_atom_site_fract_x
_atom_site_fract_y
_atom_site_fract_z
_atom_site_occupancy
N1 0.500 0.500 0.500 1
Fe1 0.000 0.000 0.000 1
I1 0.500 0.000 0.000 1
I2 0.000 0.000 0.500 1
I3 0.000 0.500 0.000 1
```

ΔE_f (raw) = 8.38 eV/f.u.
E = -2.61 eV per atom
Polymorph energy (0 for the lowest one) = 361 meV/atom
Calculated density = 5.48 g/cm³


The following is a PBE-GGA calculation of a geometry-optimized HoTeS structure, from the Alexandria database.

CIF file:
```
data_HoTeS
_cell_length_a 3.663
_cell_length_b 3.550
_cell_length_c 6.753
_cell_angle_alpha 105.23
_cell_angle_beta 90.01
_cell_angle_gamma 90.00
_symmetry_space_group_name_H-M 'P 1'
_symmetry_Int_Tables_number 1
loop_
_symmetry_equiv_pos_as_xyz
'x,y,z'
loop_
_atom_site_label
_atom_site_fract_x
_atom_site_fract_y
_atom_site_fract_z
_atom_site_occupancy
Te1 0.867 0.548 0.648 1
Ho1 0.867 0.847 0.246 1
S1 0.367 0.282 0.116 1
```

ΔE_f (raw) = -3.97 eV/f.u.
E = -5.27 eV per atom
Polymorph energy (0 for the lowest one) = 168 meV/atom
Calculated density = 6.36 g/cm³


The following is a PBE-GGA calculation of a geometry-optimized CdIF6 structure, from the Alexandria database.

CIF file:
```
data_CdIF6
_cell_length_a 5.393
_cell_length_b 5.393
_cell_length_c 5.456
_cell_angle_alpha 97.21
_cell_angle_beta 97.21
_cell_angle_gamma 111.51
_symmetry_space_group_name_H-M 'P 1'
_symmetry_Int_Tables_number 1
loop_
_symmetry_equiv_pos_as_xyz
'x,y,z'
loop_
_atom_site_label
_atom_site_fract_x
_atom_site_fract_y
_atom_site_fract_z
_atom_site_occupancy
Cd1 0.000 0.000 0.000 1
F1 0.790 0.790 0.253 1
F2 0.147 0.451 0.280 1
F3 0.853 0.549 0.720 1
F4 0.451 0.147 0.280 1
F5 0.210 0.210 0.747 1
F6 0.549 0.853 0.720 1
I1 0.500 0.500 0.500 1
```

ΔE_f (raw) = -12.44 eV/f.u.
E = -3.27 eV per atom
Calculated density = 4.08 g/cm³


The following is a PBE-GGA calculation of a geometry-optimized ErTm2AgC structure, from the Alexandria database.

CIF file:
```
data_ErTm2AgC
_cell_length_a 4.796
_cell_length_b 4.796
_cell_length_c 4.878
_cell_angle_alpha 90.00
_cell_angle_beta 90.00
_cell_angle_gamma 90.00
_symmetry_space_group_name_H-M 'P 1'
_symmetry_Int_Tables_number 1
loop_
_symmetry_equiv_pos_as_xyz
'x,y,z'
loop_
_atom_site_label
_atom_site_fract_x
_atom_site_fract_y
_atom_site_fract_z
_atom_site_occupancy
Tm1 0.000 0.500 0.000 1
Tm2 0.500 0.000 0.000 1
Er1 0.000 0.000 0.500 1
Ag1 0.500 0.500 0.501 1
C1 0.000 0.000 0.000 1
```

E_form = -0.25 eV per atom
E = -5.37 eV per atom
Calculated density = 9.25 g/cm³


The following is a PBE-GGA calculation of a geometry-optimized ThMnCu structure, from the Alexandria database.

CIF file:
```
data_ThMnCu
_cell_length_a 4.018
_cell_length_b 5.530
_cell_length_c 5.911
_cell_angle_alpha 73.30
_cell_angle_beta 70.13
_cell_angle_gamma 68.70
_symmetry_space_group_name_H-M 'P 1'
_symmetry_Int_Tables_number 1
loop_
_symmetry_equiv_pos_as_xyz
'x,y,z'
loop_
_atom_site_label
_atom_site_fract_x
_atom_site_fract_y
_atom_site_fract_z
_atom_site_occupancy
Th1 0.568 0.162 0.701 1
Th2 0.432 0.838 0.299 1
Mn1 0.879 0.590 0.652 1
Mn2 0.121 0.410 0.348 1
Cu1 0.214 0.665 0.907 1
Cu2 0.786 0.335 0.093 1
```

E_form = 0.05 eV per atom
E = -6.85 eV per atom
Calculated density = 10.30 g/cm³


The following is a PBE-GGA calculation of a geometry-optimized Rb2TbBS4 structure, from the Alexandria database.

CIF file:
```
data_Rb2TbBS4
_cell_length_a 5.828
_cell_length_b 7.643
_cell_length_c 12.759
_cell_angle_alpha 85.00
_cell_angle_beta 76.80
_cell_angle_gamma 67.59
_symmetry_space_group_name_H-M 'P 1'
_symmetry_Int_Tables_number 1
loop_
_symmetry_equiv_pos_as_xyz
'x,y,z'
loop_
_atom_site_label
_atom_site_fract_x
_atom_site_fract_y
_atom_site_fract_z
_atom_site_occupancy
S1 0.388 0.673 0.403 1
S2 0.362 0.827 0.097 1
S3 0.939 0.673 0.597 1
S4 0.541 0.173 0.097 1
S5 0.209 0.327 0.403 1
S6 0.286 0.173 0.903 1
S7 0.464 0.327 0.597 1
S8 0.811 0.827 0.903 1
Rb1 0.179 0.000 0.641 1
Rb2 0.929 0.500 0.141 1
Rb3 0.821 0.000 0.359 1
Rb4 0.571 0.500 0.859 1
Tb1 0.750 0.500 0.500 1
Tb2 0.000 0.000 0.000 1
B1 0.250 0.500 0.500 1
B2 0.500 0.000 0.000 1
```

ΔE_f (raw) = -8.89 eV/f.u.
E = -4.83 eV per atom
Calculated density = 3.04 g/cm³